The following is a DFT calculation (PBE) of crystalline AlCoPb2 at its relaxed geometry.

As for the energy of formation: 567 meV per atom. Its magnetization is 1.528 μB per formula unit. As for the uncorrected energy: -4.00 eV/atom. The calculation puts the calculated volume at 22.03 A^3/atom. As for the excess energy over the best structure of this formula in the dataset: 492 meV/atom.

The structure belongs to space group I-4m2 (No. 119); the cell edges are 4.2737, 4.2737 and 9.6482 Å and the angles 90.00°, 90.00° and 90.00°. The inequivalent atoms are Al at (0.0000, 0.0000, 0.0000), Co at (0.0000, 0.5000, 0.7500), Pb at (0.0000, 0.0000, 0.5000) and Pb at (0.0000, 0.5000, 0.2500).

=====

The following is a DFT calculation (PBE) of crystalline AlCoPb at its relaxed geometry.

As for the energy of formation: 266 meV per atom. Its magnetization is 0.803 μB per formula unit. As for the uncorrected energy: -4.59 eV/atom. The calculation puts the calculated volume at 18.70 A^3/atom. As for the excess energy over the best structure of this formula in the dataset: 144 meV/atom.

The structure belongs to space group P3m1 (No. 156); the cell edges are 3.2190, 3.2190 and 6.2531 Å and the angles 90.00°, 90.00° and 120.00°. The inequivalent atoms are Al at (0.0000, 0.0000, 0.0000), Co at (0.6667, 0.3333, 0.2490) and Pb at (0.3333, 0.6667, 0.5763).

=====

The following is a DFT calculation (PBE) of crystalline AlCo4Pb at its relaxed geometry.

As for the energy of formation: 223 meV per atom. Its magnetization is 6.290 μB per formula unit. As for the uncorrected energy: -5.76 eV/atom. The calculation puts the calculated volume at 13.91 A^3/atom.

The structure belongs to space group F-43m (No. 216); the cell edges are 6.9378, 6.9378 and 6.9378 Å and the angles 90.00°, 90.00° and 90.00°. The inequivalent atoms are Al at (0.0000, 0.0000, 0.0000), Co at (0.1259, 0.1259, 0.6259) and Pb at (0.2500, 0.2500, 0.2500).

=====

The following is a DFT calculation (PBE) of crystalline AlCo2Pb2 at its relaxed geometry.

As for the energy of formation: 625 meV per atom. Its magnetization is 1.241 μB per formula unit. As for the uncorrected energy: -4.45 eV/atom. The calculation puts the calculated volume at 18.78 A^3/atom. As for the excess energy over the best structure of this formula in the dataset: 310 meV/atom.

The structure belongs to space group P4/mbm (No. 127); the cell edges are 7.8337, 7.8337 and 3.0595 Å and the angles 90.00°, 90.00° and 90.00°. The inequivalent atoms are Al at (0.0000, 0.0000, 0.0000), Co at (0.1346, 0.3654, 0.5000) and Pb at (0.1585, 0.6585, 0.0000).

=====

The following is a DFT calculation (PBE) of crystalline AlCoPb2 at its relaxed geometry.

As for the energy of formation: 547 meV per atom. Its magnetization is 1.352 μB per formula unit. As for the uncorrected energy: -4.02 eV/atom. The calculation puts the calculated volume at 21.72 A^3/atom. As for the excess energy over the best structure of this formula in the dataset: 471 meV/atom.

The structure belongs to space group P4/mmm (No. 123); the cell edges are 4.8770, 4.8770 and 3.6531 Å and the angles 90.00°, 90.00° and 90.00°. The inequivalent atoms are Al at (0.0000, 0.0000, 0.0000), Co at (0.5000, 0.5000, 0.0000) and Pb at (0.0000, 0.5000, 0.5000).

=====

The following is a DFT calculation (PBE) of crystalline AlCoPb2 at its relaxed geometry.

As for the energy of formation: 411 meV per atom. Its magnetization is 0.882 μB per formula unit. As for the uncorrected energy: -4.16 eV/atom. The calculation puts the calculated volume at 21.67 A^3/atom. As for the excess energy over the best structure of this formula in the dataset: 336 meV/atom.

The structure belongs to space group P2/m (No. 10); the cell edges are 3.2651, 3.2857 and 8.0816 Å and the angles 90.00°, 90.29° and 90.00°. The inequivalent atoms are Al at (0.0000, 0.0000, 0.0000), Co at (0.0000, 0.0000, 0.5000) and Pb at (0.4997, 0.5000, 0.2919).

=====

The following is a DFT calculation (PBE) of crystalline AlCoRePb2 at its relaxed geometry.

As for the energy of formation: 1092 meV per atom. Its magnetization is 1.355 μB per formula unit. As for the uncorrected energy: -5.05 eV/atom. The calculation puts the calculated volume at 26.12 A^3/atom.

The structure belongs to space group P4/mmm (No. 123); the cell edges are 5.3158, 5.3158 and 4.6221 Å and the angles 90.00°, 90.00° and 90.00°. The inequivalent atoms are Al at (0.0000, 0.0000, 0.0000), Co at (0.5000, 0.5000, 0.0000), Re at (0.5000, 0.5000, 0.5000) and Pb at (0.0000, 0.5000, 0.5000).

=====

The following is a DFT calculation (PBE) of crystalline Al2CoRhPb at its relaxed geometry.

As for the energy of formation: 240 meV per atom. Its magnetization is 1.914 μB per formula unit. As for the uncorrected energy: -4.89 eV/atom. The calculation puts the calculated volume at 21.05 A^3/atom.

The structure belongs to space group P4/mmm (No. 123); the cell edges are 4.6633, 4.6633 and 4.8389 Å and the angles 90.00°, 90.00° and 90.00°. The inequivalent atoms are Al at (0.0000, 0.5000, 0.0000), Co at (0.0000, 0.0000, 0.5000), Rh at (0.0000, 0.0000, 0.0000) and Pb at (0.5000, 0.5000, 0.5000).

=====

The following is a DFT calculation (PBE) of crystalline Y2AlCoPb at its relaxed geometry.

As for the energy of formation: -299 meV per atom. Its magnetization is 0.000 μB per formula unit. As for the uncorrected energy: -5.80 eV/atom. The calculation puts the calculated volume at 24.42 A^3/atom.

The structure belongs to space group P4/mmm (No. 123); the cell edges are 5.1414, 5.1414 and 4.6184 Å and the angles 90.00°, 90.00° and 90.00°. The inequivalent atoms are Y at (0.0000, 0.5000, 0.0000), Al at (0.0000, 0.0000, 0.5000), Co at (0.0000, 0.0000, 0.0000) and Pb at (0.5000, 0.5000, 0.5000).

=====

The following is a DFT calculation (PBE) of crystalline Al2CoPd2 at its relaxed geometry.

As for the energy of formation: -459 meV per atom. Its magnetization is 1.545 μB per formula unit. As for the uncorrected energy: -5.45 eV/atom. The calculation puts the calculated volume at 14.57 A^3/atom. As for the excess energy over the best structure of this formula in the dataset: 185 meV/atom.

The structure belongs to space group P4/mbm (No. 127); the cell edges are 7.0914, 7.0914 and 2.8970 Å and the angles 90.00°, 90.00° and 90.00°. The inequivalent atoms are Al at (0.1483, 0.3517, 0.0000), Co at (0.0000, 0.0000, 0.0000) and Pd at (0.1507, 0.6507, 0.5000).

=====

The following is a DFT calculation (PBE) of crystalline Al5Co4Pd at its relaxed geometry.

As for the energy of formation: -647 meV per atom. Its magnetization is 0.001 μB per formula unit. As for the uncorrected energy: -5.88 eV/atom. The calculation puts the calculated volume at 12.21 A^3/atom.

The structure belongs to space group P4/mmm (No. 123); the cell edges are 2.8344, 2.8344 and 15.1998 Å and the angles 90.00°, 90.00° and 90.00°. The inequivalent atoms are Al at (0.0000, 0.0000, 0.0000), Al at (0.0000, 0.0000, 0.1904), Al at (0.0000, 0.0000, 0.3823), Co at (0.5000, 0.5000, 0.0947), Co at (0.5000, 0.5000, 0.2860) and Pd at (0.5000, 0.5000, 0.5000).

=====

The following is a DFT calculation (PBE) of crystalline AlCo2Pd2 at its relaxed geometry.

As for the energy of formation: -34 meV per atom. Its magnetization is 3.140 μB per formula unit. As for the uncorrected energy: -5.70 eV/atom. The calculation puts the calculated volume at 14.01 A^3/atom.

The structure belongs to space group P4/mbm (No. 127); the cell edges are 6.0738, 6.0738 and 3.7981 Å and the angles 90.00°, 90.00° and 90.00°. The inequivalent atoms are Al at (0.0000, 0.0000, 0.0000), Co at (0.1281, 0.3719, 0.0000) and Pd at (0.1681, 0.6681, 0.5000).

=====

The following is a DFT calculation (PBE) of crystalline AlCoPd at its relaxed geometry.

As for the energy of formation: -396 meV per atom. Its magnetization is 0.519 μB per formula unit. As for the uncorrected energy: -5.74 eV/atom. The calculation puts the calculated volume at 13.10 A^3/atom.

The structure belongs to space group I4mm (No. 107); the cell edges are 2.8389, 2.8389 and 9.7516 Å and the angles 90.00°, 90.00° and 90.00°. The inequivalent atoms are Al at (0.0000, 0.0000, 0.0000), Co at (0.0000, 0.0000, 0.6426) and Pd at (0.0000, 0.0000, 0.3282).